# SrU2O6

Crystalline SrU2O6 at its relaxed geometry (PBE-GGA, Alexandria).

a = 5.9470 Å, b = 5.9470 Å, c = 5.0297 Å
α = 90.00°, β = 90.00°, γ = 120.00°
With the nearest neighbours (Å) after each atom.
Space group P-31m (No. 162)
Symmetry-distinct sites (fractional):
1 Sr 0.0000 0.0000 0.0000  6 O 2.62
2 U 0.3333 0.6667 0.5000  6 O 2.17
3 O 0.0000 0.3669 0.2887  2 U 2.17

* total magnetization: 0.223 μB/atom
* raw formation energy: -3.210 eV per atom
* calculated volume: 17.12 Å³/atom
* energy above the lowest structure with this stoichiometry: 0 meV/atom